DFT (PBE) results for a geometry-optimized Sr2SbMo structure.

Results
Formation energy without anion corrections in eV per atom: 0.33
Final energy in Ha/atom: -0.156

Unit cell a=4.2313 b=4.2313 c=6.8049 alpha=90.00 beta=90.00 gamma=90.00
Last column: nearest neighbours and their distance in Å.
Positions (direct):
Mo 0.5000 0.5000 0.2500  2 Sb 3.40, 8 Sr 3.46
Sb 0.5000 0.5000 0.7500  2 Mo 3.40, 8 Sr 3.42
Sr 0.0000 0.0000 0.9944  2 Sr 3.33-3.48, 4 Sb 3.42, 4 Mo 3.46
Sr 0.0000 0.0000 0.5056  2 Sr 3.33-3.48, 4 Sb 3.42, 4 Mo 3.46

DFT (PBE) results for a geometry-optimized MgScW structure.

Results
Energy above the lowest structure with this stoichiometry in meV per atom: 369
Energy of formation in eV/atom: 0.630
Final energy in Ha/atom: -0.233

Unit cell a=5.0955 b=4.4214 c=7.8049 alpha=79.16 beta=70.95 gamma=54.81
Last column: nearest neighbours and their distance in Å.
Positions (direct):
Mg 0.7500 0.5000 0.5000  2 Mg 2.55
Mg 0.2500 0.5000 0.5000  2 Mg 2.55
W 0.8319 0.3362 0.0000  1 W 2.43
W 0.1681 0.6638 0.0000  1 W 2.43
Sc 0.5985 0.0000 0.8031  2 W 2.80, 1 Sc 2.91
Sc 0.4015 0.0000 0.1969  2 W 2.80, 1 Sc 2.91

DFT (PBE) results for a geometry-optimized RbSeBr4 structure.

Results
Energy above the lowest structure with this stoichiometry in meV per atom: 0
Formation energy without anion corrections in eV per atom: -0.63
Final energy in Ha/atom: -0.091

Unit cell a=7.9370 b=8.5658 c=8.5226 alpha=110.97 beta=108.03 gamma=108.09
Last column: nearest neighbours and their distance in Å.
Positions (direct):
Rb 0.3709 0.6209 0.2418  8 Br 3.45-3.75
Rb 0.6291 0.3791 0.7582  8 Br 3.45-3.75
Se 0.8402 0.0902 0.1803  4 Br 2.55-2.59
Se 0.1598 0.9098 0.8197  4 Br 2.55-2.59
Br 0.2332 0.9336 0.5561  1 Se 2.55
Br 0.0951 0.8469 0.0769  1 Se 2.59
Br 0.1771 0.3775 0.4439  1 Se 2.55
Br 0.5181 0.7699 0.9231  1 Se 2.59
Br 0.7668 0.0664 0.4439  1 Se 2.55
Br 0.8229 0.6225 0.5561  1 Se 2.55
Br 0.9049 0.1531 0.9231  1 Se 2.59
Br 0.4819 0.2301 0.0769  1 Se 2.59

DFT (PBE) results for a geometry-optimized Mg7Co structure.

Results
Energy above the lowest structure with this stoichiometry in meV per atom: 0
Energy of formation in eV/atom: 0.109
Final energy in Ha/atom: -0.080

Unit cell a=6.1792 b=6.1792 c=4.8786 alpha=90.00 beta=90.00 gamma=120.00
Last column: nearest neighbours and their distance in Å.
Positions (direct):
Mg 0.0006 0.5003 0.5000  10 Mg 3.02-3.10, 2 Co 3.09
Mg 0.4997 0.5003 0.5000  10 Mg 3.02-3.10, 2 Co 3.09
Mg 0.4997 0.9994 0.5000  10 Mg 3.02-3.10, 2 Co 3.09
Mg 0.1571 0.3141 0.0000  8 Mg 2.91-3.09, 2 Co 2.96
Mg 0.1571 0.8429 0.0000  8 Mg 2.91-3.09, 2 Co 2.96
Mg 0.6859 0.8429 0.0000  8 Mg 2.91-3.09, 2 Co 2.96
Mg 0.6667 0.3333 0.0000  12 Mg 3.02-3.09
Co 0.0000 0.0000 0.5000  12 Mg 2.96-3.09

DFT (PBE) results for a geometry-optimized ScNbPd2Rh structure.

Results
Energy of formation in eV/atom: 0.708
Final energy in Ha/atom: -0.225

Unit cell a=4.6534 b=4.5818 c=4.6534 alpha=90.00 beta=90.00 gamma=90.00
Last column: nearest neighbours and their distance in Å.
Positions (direct):
Sc 0.0000 0.0000 0.0000  2 Rh 2.29, 4 Pd 2.33
Nb 0.5000 0.5000 0.5000  8 Pd 3.27, 4 Rh 3.29
Rh 0.0000 0.5000 0.0000  2 Sc 2.29
Pd 0.0000 0.0000 0.5000  2 Sc 2.33
Pd 0.5000 0.0000 0.0000  2 Sc 2.33

DFT (PBE) results for a geometry-optimized Ge3PbS structure.

Results
Energy above the lowest structure with this stoichiometry in meV per atom: 0
Formation energy without anion corrections in eV per atom: 0.39
Final energy in Ha/atom: -0.145

Unit cell a=5.0041 b=5.0041 c=5.0041 alpha=90.00 beta=90.00 gamma=90.00
Last column: nearest neighbours and their distance in Å.
Positions (direct):
Pb 0.5000 0.5000 0.5000  12 Ge 3.54
Ge 0.0000 0.5000 0.0000  2 S 2.50
Ge 0.0000 0.0000 0.5000  2 S 2.50
Ge 0.5000 0.0000 0.0000  2 S 2.50
S 0.0000 0.0000 0.0000  6 Ge 2.50

DFT (PBE) results for a geometry-optimized Zn2TeW structure.

Results
Formation energy without anion corrections in eV per atom: 0.68
Final energy in Ha/atom: -0.146

Unit cell a=3.5531 b=4.4526 c=4.4526 alpha=90.00 beta=90.00 gamma=90.00
Last column: nearest neighbours and their distance in Å.
Positions (direct):
Te 0.5000 0.5000 0.0000  8 Zn 2.85, 4 W 3.15
W 0.5000 0.0000 0.5000  8 Zn 2.85, 4 Te 3.15
Zn 0.0000 0.0000 0.0000  4 W 2.85, 4 Te 2.85, 4 Zn 3.15
Zn 0.0000 0.5000 0.5000  4 Te 2.85, 4 W 2.85, 4 Zn 3.15

DFT (PBE) results for a geometry-optimized K2Pu2HfS6 structure.

Results
Formation energy without anion corrections in eV per atom: -1.60
Final energy in Ha/atom: -0.278

Unit cell a=6.8272 b=6.8272 c=7.8461 alpha=98.52 beta=98.52 gamma=119.49
Last column: nearest neighbours and their distance in Å.
Positions (direct):
K 0.8308 0.1692 0.0000  6 S 3.20-3.31
K 0.1692 0.8308 0.0000  6 S 3.20-3.31
Pu 0.3340 0.6660 0.5000  6 S 2.75-2.77
Pu 0.6660 0.3340 0.5000  6 S 2.75-2.77
Hf 0.0000 0.0000 0.5000  6 S 2.58-2.59
S 0.7544 0.7544 0.6924  1 Hf 2.58, 2 Pu 2.76
S 0.0644 0.3793 0.6925  1 Hf 2.59, 2 Pu 2.75-2.77
S 0.2456 0.2456 0.3076  1 Hf 2.58, 2 Pu 2.76
S 0.3793 0.0644 0.6925  1 Hf 2.59, 2 Pu 2.75-2.77
S 0.9356 0.6207 0.3075  1 Hf 2.59, 2 Pu 2.75-2.77
S 0.6207 0.9356 0.3075  1 Hf 2.59, 2 Pu 2.75-2.77

DFT (PBE) results for a geometry-optimized HoFe3I12 structure.

Results
Formation energy without anion corrections in eV per atom: -0.39
Final energy in Ha/atom: -0.126

Unit cell a=8.0790 b=15.3433 c=15.3433 alpha=120.00 beta=90.00 gamma=90.00
Last column: nearest neighbours and their distance in Å.
Positions (direct):
Ho 0.7500 0.6667 0.3333  6 I 3.07
Ho 0.2500 0.3333 0.6667  6 I 3.07
Fe 0.2500 0.8715 0.5674  4 I 2.49-2.64
Fe 0.2500 0.6960 0.1285  4 I 2.49-2.64
Fe 0.2500 0.4326 0.3040  4 I 2.49-2.64
Fe 0.7500 0.5674 0.6960  4 I 2.49-2.64
Fe 0.7500 0.3040 0.8715  4 I 2.49-2.64
Fe 0.7500 0.1285 0.4326  4 I 2.49-2.64
I 0.2500 0.9650 0.7550  1 Fe 2.49
I 0.7500 0.0163 0.5066  1 Fe 2.49
I 0.5147 0.7546 0.5152  1 Fe 2.64
I 0.9853 0.7546 0.5152  1 Fe 2.64
I 0.7500 0.4934 0.5097  1 Fe 2.49
I 0.9853 0.7605 0.2454  1 Fe 2.64
I 0.5147 0.7605 0.2454  1 Fe 2.64
I 0.2500 0.7900 0.0350  1 Fe 2.49
I 0.5147 0.4848 0.2395  1 Fe 2.64
I 0.9853 0.4848 0.2395  1 Fe 2.64
I 0.7500 0.7550 0.7900  1 Fe 2.49
I 0.2500 0.5097 0.0163  1 Fe 2.49
I 0.7500 0.4903 0.9837  1 Fe 2.49
I 0.2500 0.2450 0.2100  1 Fe 2.49
I 0.0147 0.5152 0.7605  1 Fe 2.64
I 0.4853 0.5152 0.7605  1 Fe 2.64
I 0.7500 0.2100 0.9650  1 Fe 2.49
I 0.4853 0.2395 0.7546  1 Fe 2.64
I 0.0147 0.2395 0.7546  1 Fe 2.64
I 0.2500 0.5066 0.4903  1 Fe 2.49
I 0.4853 0.2454 0.4848  1 Fe 2.64
I 0.0147 0.2454 0.4848  1 Fe 2.64
I 0.2500 0.9837 0.4934  1 Fe 2.49
I 0.7500 0.0350 0.2450  1 Fe 2.49

DFT (PBE) results for a geometry-optimized BiAu2I8 structure.

Results
Formation energy without anion corrections in eV per atom: 0.04
Final energy in Ha/atom: -0.075

Unit cell a=8.2407 b=8.3102 c=8.3102 alpha=120.00 beta=90.00 gamma=90.00
Last column: nearest neighbours and their distance in Å.
Positions (direct):
Bi 0.5000 0.0000 0.0000  6 I 3.11
Au 0.8961 0.6667 0.3333  4 I 2.62-2.79
Au 0.1039 0.3333 0.6667  4 I 2.62-2.79
I 0.7859 0.3333 0.6667  1 Au 2.62
I 0.2142 0.6667 0.3333  1 Au 2.62
I 0.2392 0.1560 0.3120  1 Au 2.79, 1 Bi 3.11
I 0.7608 0.8440 0.6879  1 Au 2.79, 1 Bi 3.11
I 0.7608 0.3120 0.1560  1 Au 2.79, 1 Bi 3.11
I 0.2392 0.6879 0.8440  1 Au 2.79, 1 Bi 3.11
I 0.2392 0.1560 0.8440  1 Au 2.79, 1 Bi 3.11
I 0.7608 0.8440 0.1560  1 Au 2.79, 1 Bi 3.11

DFT (PBE) results for a geometry-optimized BeTe2As structure.

Results
Energy above the lowest structure with this stoichiometry in meV per atom: 718
Formation energy without anion corrections in eV per atom: 0.76
Final energy in Ha/atom: -0.107

Unit cell a=4.9869 b=4.9869 c=4.9869 alpha=60.00 beta=60.00 gamma=60.00
Last column: nearest neighbours and their distance in Å.
Positions (direct):
Be 0.7500 0.7500 0.7500  4 As 3.05, 4 Te 3.05
As 0.5000 0.5000 0.5000  4 Te 3.05, 4 Be 3.05
Te 0.0000 0.0000 0.0000  4 Te 3.05, 4 Be 3.05
Te 0.2500 0.2500 0.2500  4 As 3.05, 4 Te 3.05

DFT (PBE) results for a geometry-optimized LaPm8Tm6 structure.

Results
Energy above the lowest structure with this stoichiometry in meV per atom: 0
Energy of formation in eV/atom: 0.166
Final energy in Ha/atom: -0.165

Unit cell a=9.2411 b=9.2411 c=8.6238 alpha=57.60 beta=57.60 gamma=60.00
Last column: nearest neighbours and their distance in Å.
Positions (direct):
La 0.0000 0.0000 0.0000  6 Tm 3.52, 6 Pm 3.80
Pm 0.3349 0.2269 0.5245  3 Tm 3.41-3.74, 6 Pm 3.43-3.79, 1 La 3.80
Pm 0.7731 0.0864 0.4755  3 Tm 3.41-3.74, 6 Pm 3.43-3.79, 1 La 3.80
Pm 0.0864 0.6651 0.4755  3 Tm 3.41-3.74, 6 Pm 3.43-3.79, 1 La 3.80
Pm 0.5731 0.5731 0.2808  1 Pm 2.97, 3 Tm 3.21
Pm 0.4269 0.4269 0.7192  1 Pm 2.97, 3 Tm 3.21
Pm 0.9136 0.3349 0.5245  3 Tm 3.41-3.74, 6 Pm 3.43-3.79, 1 La 3.80
Pm 0.2269 0.9136 0.5245  3 Tm 3.41-3.74, 6 Pm 3.43-3.79, 1 La 3.80
Pm 0.6651 0.7731 0.4755  3 Tm 3.41-3.74, 6 Pm 3.43-3.79, 1 La 3.80
Tm 0.4518 0.8928 0.9184  3 Pm 3.21-3.53, 1 La 3.52, 3 Tm 3.58
Tm 0.1072 0.2630 0.0816  3 Pm 3.21-3.53, 1 La 3.52, 3 Tm 3.58
Tm 0.2630 0.5482 0.0816  3 Pm 3.21-3.53, 1 La 3.52, 3 Tm 3.58
Tm 0.7370 0.4518 0.9184  3 Pm 3.21-3.53, 1 La 3.52, 3 Tm 3.58
Tm 0.8928 0.7370 0.9184  3 Pm 3.21-3.53, 1 La 3.52, 3 Tm 3.58
Tm 0.5482 0.1072 0.0816  3 Pm 3.21-3.53, 1 La 3.52, 3 Tm 3.58

Number 1: theoretical density 5.356 g/cm³. Number 2: theoretical density 6.188 g/cm³. Number 3: theoretical density 3.550 g/cm³. Number 4: theoretical density 2.358 g/cm³. Number 5: theoretical density 7.592 g/cm³. Number 6: theoretical density 6.059 g/cm³. Number 7: theoretical density 10.425 g/cm³. Number 8: theoretical density 5.114 g/cm³. Number 9: theoretical density 3.741 g/cm³. Number 10: theoretical density 5.452 g/cm³. Number 11: theoretical density 6.422 g/cm³. Number 12: theoretical density 7.664 g/cm³.